1.
Compound: Tb2Al5Ag4
Source: Alexandria
Functional: PBE
Structure: optimized geometry

Calculated formation energy, eV per atom: -0.273
Space group: Fmmm, No. 69

Unit cell a=5.458 b=5.360 c=9.274 alpha=81.38 beta=72.89 gamma=59.39
Sites, in units of the cell vectors:
Al (0.500, 0.000, 0.000)
Al (0.750, 0.500, 0.500)
Al (0.250, 0.500, 0.500)
Al (0.000, 0.500, 0.000)
Al (0.500, 0.500, 0.000)
Ag (0.468, 0.326, 0.738)
Ag (0.794, 0.674, 0.738)
Ag (0.206, 0.326, 0.262)
Ag (0.532, 0.674, 0.262)
Tb (0.896, 0.000, 0.208)
Tb (0.104, 0.000, 0.792)

***

2.
Compound: TbAlAg3
Source: Alexandria
Functional: PBE
Structure: optimized geometry

Excess energy over the best structure of this formula in the dataset, meV/atom: 40
Calculated formation energy, eV per atom: -0.195
Space group: P2_1/m, No. 11

Unit cell a=6.747 b=6.750 c=5.889 alpha=90.00 beta=90.00 gamma=51.19
Sites, in units of the cell vectors:
Tb (0.535, 0.735, 0.552)
Tb (0.026, 0.231, 0.052)
Ag (0.033, 0.730, 0.802)
Ag (0.528, 0.236, 0.302)
Ag (0.528, 0.236, 0.802)
Ag (0.439, 0.644, 0.052)
Ag (0.122, 0.322, 0.552)
Ag (0.033, 0.730, 0.302)
Al (0.914, 0.114, 0.552)
Al (0.647, 0.852, 0.052)

***

3.
Compound: Tb6Al2Ag
Source: Alexandria
Functional: PBE
Structure: optimized geometry

Calculated formation energy, eV per atom: -0.005
Space group: C2/m, No. 12

Unit cell a=5.005 b=7.206 c=8.747 alpha=114.33 beta=106.57 gamma=90.00
Sites, in units of the cell vectors:
Tb (0.834, 0.586, 0.667)
Tb (0.500, 0.250, 0.000)
Tb (0.166, 0.918, 0.333)
Tb (0.834, 0.082, 0.667)
Tb (0.500, 0.750, 0.000)
Tb (0.166, 0.414, 0.333)
Al (0.666, 0.667, 0.333)
Al (0.334, 0.333, 0.667)
Ag (0.000, 0.000, 0.000)

***

4.
Compound: Tb2Al6Ag9
Source: Alexandria
Functional: PBE
Structure: optimized geometry

Calculated formation energy, eV per atom: -0.091
Space group: P6/mmm, No. 191

Unit cell a=5.668 b=5.668 c=12.754 alpha=90.00 beta=90.00 gamma=120.00
Sites, in units of the cell vectors:
Al (0.667, 0.333, 0.000)
Al (0.667, 0.333, 0.665)
Al (0.333, 0.667, 0.665)
Al (0.333, 0.667, 0.335)
Al (0.667, 0.333, 0.335)
Al (0.333, 0.667, 0.000)
Ag (0.500, 0.500, 0.168)
Ag (0.500, 0.500, 0.500)
Ag (0.500, 0.000, 0.832)
Ag (0.500, 0.000, 0.168)
Ag (0.000, 0.500, 0.500)
Ag (0.000, 0.500, 0.168)
Ag (0.000, 0.500, 0.832)
Ag (0.500, 0.500, 0.832)
Ag (0.500, 0.000, 0.500)
Tb (0.000, 0.000, 0.665)
Tb (0.000, 0.000, 0.335)

***

5.
Compound: TbAl2Ag6
Source: Alexandria
Functional: PBE
Structure: optimized geometry

Calculated formation energy, eV per atom: -0.011
Space group: C2/m, No. 12

Unit cell a=3.262 b=8.012 c=8.012 alpha=60.75 beta=78.56 gamma=78.56
Sites, in units of the cell vectors:
Al (0.858, 0.645, 0.645)
Al (0.142, 0.355, 0.355)
Ag (0.321, 0.006, 0.350)
Ag (0.679, 0.650, 0.994)
Ag (0.321, 0.350, 0.006)
Ag (0.679, 0.994, 0.650)
Ag (0.500, 0.666, 0.334)
Ag (0.500, 0.334, 0.666)
Tb (0.000, 0.000, 0.000)

***

6.
Compound: Tb7Al5Ag
Source: Alexandria
Functional: PBE
Structure: optimized geometry

Calculated formation energy, eV per atom: -0.200
Space group: Imm2, No. 44

Unit cell a=6.346 b=7.880 c=7.880 alpha=76.31 beta=66.26 gamma=66.26
Sites, in units of the cell vectors:
Al (0.553, 0.986, 0.474)
Al (0.553, 0.474, 0.986)
Al (0.987, 0.474, 0.986)
Al (0.782, 0.718, 0.718)
Al (0.987, 0.986, 0.474)
Ag (0.914, 0.086, 0.086)
Tb (0.242, 0.758, 0.758)
Tb (0.526, 0.804, 0.143)
Tb (0.526, 0.143, 0.804)
Tb (0.277, 0.223, 0.223)
Tb (0.023, 0.671, 0.283)
Tb (0.607, 0.393, 0.393)
Tb (0.023, 0.283, 0.671)

***

7.
Compound: TbAl4Ag6
Source: Alexandria
Functional: PBE
Structure: optimized geometry

Calculated formation energy, eV per atom: -0.170
Space group: P-6m2, No. 187

Unit cell a=4.289 b=7.428 c=7.428 alpha=120.00 beta=90.00 gamma=90.00
Sites, in units of the cell vectors:
Al (0.500, 0.398, 0.199)
Al (0.500, 0.801, 0.199)
Al (0.500, 0.801, 0.602)
Al (0.000, 0.333, 0.667)
Ag (0.500, 0.201, 0.799)
Ag (0.500, 0.598, 0.799)
Ag (0.500, 0.201, 0.402)
Ag (0.000, 0.536, 0.464)
Ag (0.000, 0.536, 0.071)
Ag (0.000, 0.929, 0.464)
Tb (0.000, 0.000, 0.000)

***

8.
Compound: Tb2Al3Ag2
Source: Alexandria
Functional: PBE
Structure: optimized geometry

Excess energy over the best structure of this formula in the dataset, meV/atom: 0
Calculated formation energy, eV per atom: -0.386
Space group: C2/m, No. 12

Unit cell a=4.433 b=5.786 c=6.823 alpha=113.06 beta=90.00 gamma=112.52
Sites, in units of the cell vectors:
Ag (0.145, 0.291, 0.242)
Ag (0.855, 0.709, 0.758)
Tb (0.850, 0.701, 0.224)
Tb (0.150, 0.299, 0.776)
Al (0.599, 0.199, 0.431)
Al (0.401, 0.801, 0.569)
Al (0.500, 0.000, 0.000)